# 1
Co2Ni2Te5: relaxed, PBE.

```
data_Co2Ni2Te5
_symmetry_space_group_name_H-M 'P -1'
_symmetry_Int_Tables_number 2
_cell_length_a 6.615
_cell_length_b 6.645
_cell_length_c 9.492
_cell_angle_alpha 77.80
_cell_angle_beta 77.90
_cell_angle_gamma 61.51
loop_
_symmetry_equiv_pos_as_xyz
'x,y,z'
'-x,-y,-z'
loop_
_atom_site_label
_atom_site_type_symbol
_atom_site_fract_x
_atom_site_fract_y
_atom_site_fract_z
Co1 Co 0.104 0.095 0.309
Co2 Co 0.308 0.299 0.899
Ni1 Ni 0.087 0.103 0.812
Ni2 Ni 0.306 0.318 0.398
Te1 Te 0.060 0.725 0.943
Te2 Te 0.131 0.472 0.651
Te3 Te 0.263 0.942 0.555
Te4 Te 0.335 0.678 0.249
Te5 Te 0.465 0.131 0.145
```

Fermi-level density of states = 13.41 states/eV/cell
spin magnetization = 0.0 Bohr magnetons per cell
formation energy from raw total energies = -0.16 eV/atom



# 2
YIn: relaxed, PBE.

```
data_YIn
_symmetry_space_group_name_H-M 'P 42/m n m'
_symmetry_Int_Tables_number 136
_symmetry_space_group_name_Hall '-P 4n 2n'
_cell_length_a 6.150
_cell_length_b 6.150
_cell_length_c 6.285
_cell_angle_alpha 90.00
_cell_angle_beta 90.00
_cell_angle_gamma 90.00
loop_
_atom_site_label
_atom_site_type_symbol
_atom_site_fract_x
_atom_site_fract_y
_atom_site_fract_z
Y1 Y 0.194 0.194 0.000
In1 In 0.184 0.184 0.500
```

Fermi-level density of states = 11.46 states/eV/cell
spin magnetization = 0.0 Bohr magnetons per cell
final energy = -4.756 eV per atom



# 3
ErSc2Hg6: relaxed, PBE.

```
data_ErSc2Hg6
_symmetry_space_group_name_H-M 'C 1 2/m 1'
_symmetry_Int_Tables_number 12
_cell_length_a 5.284
_cell_length_b 17.172
_cell_length_c 5.277
_cell_angle_alpha 90.00
_cell_angle_beta 119.27
_cell_angle_gamma 90.00
loop_
_symmetry_equiv_pos_as_xyz
'x,y,z'
'-x,-y,-z'
'-x,y,-z'
'x,-y,z'
'x+1/2,y+1/2,z'
'-x+1/2,-y+1/2,-z'
'-x+1/2,y+1/2,-z'
'x+1/2,-y+1/2,z'
loop_
_atom_site_label
_atom_site_type_symbol
_atom_site_fract_x
_atom_site_fract_y
_atom_site_fract_z
Er1 Er 0.000 0.000 0.000
Sc1 Sc 0.000 0.171 0.500
Hg1 Hg 0.165 0.333 0.831
Hg2 Hg 0.169 0.500 0.335
```

Fermi-level density of states = 9.07 states/eV/cell
spin magnetization = 0.0 Bohr magnetons per cell
final energy = -2.400 eV per atom



# 4
La2Ir2Ru: relaxed, PBE.

```
data_La2Ir2Ru
_symmetry_space_group_name_H-M 'P 4/m b m'
_symmetry_Int_Tables_number 127
_symmetry_space_group_name_Hall '-P 4 2ab'
_cell_length_a 6.972
_cell_length_b 6.972
_cell_length_c 4.514
_cell_angle_alpha 90.00
_cell_angle_beta 90.00
_cell_angle_gamma 90.00
loop_
_atom_site_label
_atom_site_type_symbol
_atom_site_fract_x
_atom_site_fract_y
_atom_site_fract_z
La1 La 0.183 0.317 0.000
Ir1 Ir 0.132 0.632 0.500
Ru1 Ru 0.000 0.000 0.500
```

polymorph energy (0 for the lowest one) = 0.000 eV/atom
Fermi-level density of states = 10.03 states/eV/cell
spin magnetization = 1.0 Bohr magnetons per cell